(1)
# NdTh2N, relaxed, DFT PBE
data_NdTh2N
_chemical_formula_sum 'Nd1 Th2 N1'
_cell_length_a 3.561
_cell_length_b 3.561
_cell_length_c 10.081
_cell_angle_alpha 79.83
_cell_angle_beta 79.83
_cell_angle_gamma 60.00
_symmetry_space_group_name_H-M 'P 1'
_symmetry_Int_Tables_number 1
loop_
_symmetry_equiv_pos_as_xyz
'x,y,z'
loop_
_atom_site_label
_atom_site_type_symbol
_atom_site_fract_x
_atom_site_fract_y
_atom_site_fract_z
Th1 Th 0.883 0.883 0.352
Th2 Th 0.117 0.117 0.648
N1 N 0.500 0.500 0.500
Nd1 Nd 0.000 0.000 0.000
# * crystal system: trigonal
# * calculated total energy: -7.453 eV per atom
# * total magnetic moment: 0.00 μB/atom

(2)
# PrDy5Ga6, relaxed, DFT PBE
data_PrDy5Ga6
_chemical_formula_sum 'Pr1 Dy5 Ga6'
_cell_length_a 5.084
_cell_length_b 7.184
_cell_length_c 8.041
_cell_angle_alpha 90.00
_cell_angle_beta 71.69
_cell_angle_gamma 90.00
_symmetry_space_group_name_H-M 'P 1'
_symmetry_Int_Tables_number 1
loop_
_symmetry_equiv_pos_as_xyz
'x,y,z'
loop_
_atom_site_label
_atom_site_type_symbol
_atom_site_fract_x
_atom_site_fract_y
_atom_site_fract_z
Dy1 Dy 0.332 0.000 0.335
Dy2 Dy 0.668 0.000 0.665
Dy3 Dy 0.664 0.500 0.673
Dy4 Dy 0.000 0.500 0.000
Dy5 Dy 0.336 0.500 0.327
Ga1 Ga 0.170 0.256 0.659
Ga2 Ga 0.830 0.256 0.341
Ga3 Ga 0.500 0.255 0.000
Ga4 Ga 0.170 0.744 0.659
Ga5 Ga 0.830 0.744 0.341
Ga6 Ga 0.500 0.745 0.000
Pr1 Pr 0.000 0.000 0.000
# * crystal system: monoclinic
# * calculated total energy: -4.403 eV per atom
# * total magnetic moment: 0.00 μB/atom
# * ΔH_f (0 K): -574 meV/atom

(3)
# PrAuI, relaxed, DFT PBE
data_PrAuI
_chemical_formula_sum 'Pr2 Au2 I2'
_cell_length_a 4.777
_cell_length_b 4.777
_cell_length_c 11.469
_cell_angle_alpha 77.98
_cell_angle_beta 77.98
_cell_angle_gamma 60.00
_symmetry_space_group_name_H-M 'P 1'
_symmetry_Int_Tables_number 1
loop_
_symmetry_equiv_pos_as_xyz
'x,y,z'
loop_
_atom_site_label
_atom_site_type_symbol
_atom_site_fract_x
_atom_site_fract_y
_atom_site_fract_z
Pr1 Pr 0.551 0.551 0.347
Pr2 Pr 0.449 0.449 0.653
I1 I 0.275 0.275 0.174
I2 I 0.725 0.725 0.826
Au1 Au 0.167 0.167 0.500
Au2 Au 0.833 0.833 0.500
# * crystal system: trigonal
# * calculated total energy: -4.222 eV per atom
# * total magnetic moment: 0.00 μB/atom
# * E above lowest polymorph: 0.00 kJ per mole of atoms

(4)
# CeZn2PdAu5, relaxed, DFT PBE
data_CeZn2PdAu5
_chemical_formula_sum 'Ce1 Zn2 Pd1 Au5'
_cell_length_a 4.932
_cell_length_b 4.932
_cell_length_c 7.371
_cell_angle_alpha 90.00
_cell_angle_beta 90.00
_cell_angle_gamma 90.00
_symmetry_space_group_name_H-M 'P 1'
_symmetry_Int_Tables_number 1
loop_
_symmetry_equiv_pos_as_xyz
'x,y,z'
loop_
_atom_site_label
_atom_site_type_symbol
_atom_site_fract_x
_atom_site_fract_y
_atom_site_fract_z
Zn1 Zn 0.500 0.500 0.842
Zn2 Zn 0.500 0.500 0.158
Au1 Au 0.500 0.500 0.500
Au2 Au 0.000 0.500 0.776
Au3 Au 0.500 0.000 0.776
Au4 Au 0.500 0.000 0.224
Au5 Au 0.000 0.500 0.224
Ce1 Ce 0.000 0.000 0.500
Pd1 Pd 0.000 0.000 0.000
# * crystal system: tetragonal
# * calculated total energy: -3.520 eV per atom
# * total magnetic moment: 0.10 μB/atom
# * ΔH_f (0 K): -179 meV/atom

(5)
# SrCaRu2, relaxed, DFT PBE
data_SrCaRu2
_chemical_formula_sum 'Sr1 Ca1 Ru2'
_cell_length_a 4.696
_cell_length_b 3.073
_cell_length_c 6.441
_cell_angle_alpha 80.26
_cell_angle_beta 90.00
_cell_angle_gamma 90.00
_symmetry_space_group_name_H-M 'P 1'
_symmetry_Int_Tables_number 1
loop_
_symmetry_equiv_pos_as_xyz
'x,y,z'
loop_
_atom_site_label
_atom_site_type_symbol
_atom_site_fract_x
_atom_site_fract_y
_atom_site_fract_z
Ca1 Ca 0.500 0.750 0.750
Ru1 Ru 0.000 0.520 0.579
Ru2 Ru 0.000 0.980 0.921
Sr1 Sr 0.500 0.250 0.250
# * crystal system: monoclinic
# * calculated total energy: -4.951 eV per atom
# * total magnetic moment: 0.10 μB/atom
# * E above lowest polymorph: 29.31 kJ per mole of atoms
# * ΔH_f (0 K): 608 meV/atom

(6)
# KYTl3, relaxed, DFT PBE
data_KYTl3
_chemical_formula_sum 'K1 Y1 Tl3'
_cell_length_a 5.762
_cell_length_b 5.762
_cell_length_c 5.762
_cell_angle_alpha 90.00
_cell_angle_beta 90.00
_cell_angle_gamma 90.00
_symmetry_space_group_name_H-M 'P 1'
_symmetry_Int_Tables_number 1
loop_
_symmetry_equiv_pos_as_xyz
'x,y,z'
loop_
_atom_site_label
_atom_site_type_symbol
_atom_site_fract_x
_atom_site_fract_y
_atom_site_fract_z
Tl1 Tl 0.500 0.000 0.000
Tl2 Tl 0.000 0.000 0.500
Tl3 Tl 0.000 0.500 0.000
K1 K 0.000 0.000 0.000
Y1 Y 0.500 0.500 0.500
# * crystal system: cubic
# * calculated total energy: -2.237 eV per atom
# * total magnetic moment: 0.00 μB/atom
# * E above lowest polymorph: 50.48 kJ per mole of atoms
# * ΔH_f (0 K): 695 meV/atom

(7)
# AcAlSn2, relaxed, DFT PBE
data_AcAlSn2
_chemical_formula_sum 'Ac1 Al1 Sn2'
_cell_length_a 4.572
_cell_length_b 4.790
_cell_length_c 6.518
_cell_angle_alpha 112.94
_cell_angle_beta 111.87
_cell_angle_gamma 90.41
_symmetry_space_group_name_H-M 'P 1'
_symmetry_Int_Tables_number 1
loop_
_symmetry_equiv_pos_as_xyz
'x,y,z'
loop_
_atom_site_label
_atom_site_type_symbol
_atom_site_fract_x
_atom_site_fract_y
_atom_site_fract_z
Sn1 Sn 0.399 0.208 0.910
Sn2 Sn 0.896 0.530 0.472
Al1 Al 0.563 0.631 0.760
Ac1 Ac 0.277 0.906 0.271
# * crystal system: triclinic
# * calculated total energy: -4.306 eV per atom
# * total magnetic moment: 0.00 μB/atom
# * E above lowest polymorph: 3.50 kJ per mole of atoms
# * ΔH_f (0 K): -342 meV/atom

(8)
# PrSmTlAg, relaxed, DFT PBE
data_PrSmTlAg
_chemical_formula_sum 'Pr1 Sm1 Tl1 Ag1'
_cell_length_a 5.420
_cell_length_b 5.420
_cell_length_c 5.420
_cell_angle_alpha 60.00
_cell_angle_beta 60.00
_cell_angle_gamma 60.00
_symmetry_space_group_name_H-M 'P 1'
_symmetry_Int_Tables_number 1
loop_
_symmetry_equiv_pos_as_xyz
'x,y,z'
loop_
_atom_site_label
_atom_site_type_symbol
_atom_site_fract_x
_atom_site_fract_y
_atom_site_fract_z
Ag1 Ag 0.750 0.750 0.750
Sm1 Sm 0.500 0.500 0.500
Pr1 Pr 0.000 0.000 0.000
Tl1 Tl 0.250 0.250 0.250
# * crystal system: cubic
# * calculated total energy: -3.998 eV per atom
# * total magnetic moment: 0.12 μB/atom
# * ΔH_f (0 K): -319 meV/atom

(9)
# LiTiFe4, relaxed, DFT PBE
data_LiTiFe4
_chemical_formula_sum 'Li1 Ti1 Fe4'
_cell_length_a 4.714
_cell_length_b 4.714
_cell_length_c 4.714
_cell_angle_alpha 60.00
_cell_angle_beta 60.00
_cell_angle_gamma 60.00
_symmetry_space_group_name_H-M 'P 1'
_symmetry_Int_Tables_number 1
loop_
_symmetry_equiv_pos_as_xyz
'x,y,z'
loop_
_atom_site_label
_atom_site_type_symbol
_atom_site_fract_x
_atom_site_fract_y
_atom_site_fract_z
Fe1 Fe 0.123 0.626 0.626
Fe2 Fe 0.626 0.626 0.626
Fe3 Fe 0.626 0.123 0.626
Fe4 Fe 0.626 0.626 0.123
Ti1 Ti 0.250 0.250 0.250
Li1 Li 0.000 0.000 0.000
# * crystal system: cubic
# * calculated total energy: -7.313 eV per atom
# * total magnetic moment: 0.81 μB/atom
# * ΔH_f (0 K): -36 meV/atom

(10)
# Li2TbZn9, relaxed, DFT PBE
data_Li2TbZn9
_chemical_formula_sum 'Li2 Tb1 Zn9'
_cell_length_a 5.255
_cell_length_b 5.255
_cell_length_c 8.874
_cell_angle_alpha 72.78
_cell_angle_beta 72.78
_cell_angle_gamma 60.00
_symmetry_space_group_name_H-M 'P 1'
_symmetry_Int_Tables_number 1
loop_
_symmetry_equiv_pos_as_xyz
'x,y,z'
loop_
_atom_site_label
_atom_site_type_symbol
_atom_site_fract_x
_atom_site_fract_y
_atom_site_fract_z
Zn1 Zn 0.500 0.500 0.500
Zn2 Zn 0.589 0.589 0.742
Zn3 Zn 0.411 0.411 0.258
Zn4 Zn 0.411 0.920 0.258
Zn5 Zn 0.589 0.080 0.742
Zn6 Zn 0.920 0.411 0.258
Zn7 Zn 0.666 0.666 0.003
Zn8 Zn 0.080 0.589 0.742
Zn9 Zn 0.334 0.334 0.997
Tb1 Tb 0.000 0.000 0.000
Li1 Li 0.857 0.857 0.430
Li2 Li 0.143 0.143 0.570
# * crystal system: trigonal
# * calculated total energy: -1.872 eV per atom
# * total magnetic moment: 0.00 μB/atom
# * E above lowest polymorph: 0.00 kJ per mole of atoms
# * ΔH_f (0 K): -212 meV/atom